Entry 1:
Below is a geometry-optimized TbDy3Y2Sb6 structure, with properties calculated at the PBE level. Values from VASP.

Calculated values
As for the crystal system: monoclinic. The calculation puts the total magnetization at 0.00 μB per cell. As for the energy relative to the elements, uncorrected: -1.15 eV per atom.

```
&SYSTEM
  ibrav = 0, nat = 12, ntyp = 4
/
ATOMIC_SPECIES
Tb 158.93 Tb.upf
Dy 162.50 Dy.upf
Y 88.91 Y.upf
Sb 121.76 Sb.upf
CELL_PARAMETERS angstrom
3.803 -6.586 0.000
3.803 6.586 0.000
-2.533 0.000 7.167
ATOMIC_POSITIONS angstrom
Tb 0.000 0.000 0.000
Dy 2.536 4.392 3.583
Dy 2.536 0.000 3.583
Dy 2.536 -4.392 3.583
Y 3.803 2.195 0.000
Y 3.803 -2.195 0.000
Sb 1.269 2.198 1.797
Sb 0.004 0.000 5.369
Sb 1.269 -2.198 1.797
Sb 3.804 2.198 5.369
Sb 5.069 0.000 1.798
Sb 3.804 -2.198 5.369
```

Entry 2:
Below is a geometry-optimized CePrPa2P4 structure, with properties calculated at the PBE level. Values from VASP.

Calculated values
As for the crystal system: monoclinic. As for the formation enthalpy at 0 K: -1.4106 eV/atom. The calculation puts the total magnetization at 0.61 μB per cell.

```
&SYSTEM
  ibrav = 0, nat = 8, ntyp = 4
/
ATOMIC_SPECIES
Ce 140.12 Ce.upf
Pr 140.91 Pr.upf
Pa 231.04 Pa.upf
P 30.97 P.upf
CELL_PARAMETERS angstrom
7.009 0.000 0.000
0.000 4.045 0.000
-2.338 0.000 6.638
ATOMIC_POSITIONS angstrom
Ce 0.000 0.000 0.000
Pr 3.504 2.023 0.000
Pa -1.169 2.023 3.319
Pa 2.335 0.000 3.319
P -0.023 0.000 4.869
P 1.148 2.023 1.747
P 3.522 2.023 4.891
P 4.693 0.000 1.769
```

Entry 3:
Below is a geometry-optimized Cs3Zn2InF9 structure, with properties calculated at the PBE level. Values from VASP.

Calculated values
As for the crystal system: trigonal. The calculation puts the total magnetization at 0.00 μB per cell. As for the energy relative to the elements, uncorrected: -2.45 eV per atom.

```
&SYSTEM
  ibrav = 0, nat = 15, ntyp = 4
/
ATOMIC_SPECIES
Cs 132.91 Cs.upf
Zn 65.41 Zn.upf
In 114.82 In.upf
F 19.00 F.upf
CELL_PARAMETERS angstrom
6.231 0.000 0.000
-3.115 5.396 0.000
0.000 0.000 7.652
ATOMIC_POSITIONS angstrom
Cs 0.000 0.000 0.000
Cs 0.000 3.597 5.129
Cs 3.115 1.799 2.523
Zn 0.000 3.597 1.193
Zn 3.115 1.799 6.459
In 0.000 0.000 3.826
F -1.558 2.698 0.000
F 0.000 1.898 2.455
F -1.472 4.447 2.455
F 1.644 0.949 5.197
F 3.115 0.000 0.000
F 1.558 2.698 0.000
F 1.472 4.447 2.455
F 4.587 0.949 5.197
F 3.115 3.498 5.197
```

Entry 4:
Below is a geometry-optimized CaH3Cl structure, with properties calculated at the PBE level. Values from VASP.

Calculated values
As for the crystal system: cubic. The calculation puts the total magnetization at 2.00 μB per cell. The energy above the most stable polymorph in this dataset is 0 meV/atom.

```
&SYSTEM
  ibrav = 0, nat = 5, ntyp = 3
/
ATOMIC_SPECIES
Ca 40.08 Ca.upf
H 1.01 H.upf
Cl 35.45 Cl.upf
CELL_PARAMETERS angstrom
4.239 0.000 0.000
0.000 4.239 0.000
0.000 0.000 4.239
ATOMIC_POSITIONS angstrom
Ca 0.000 0.000 0.000
H 0.000 0.000 2.120
H 0.000 2.120 0.000
H 2.120 0.000 0.000
Cl 2.120 2.120 2.120
```

Entry 5:
Below is a geometry-optimized Nb3SeI7 structure, with properties calculated at the PBE level. Values from VASP.

Calculated values
As for the crystal system: monoclinic. The calculation puts the total magnetization at 0.00 μB per cell. As for the energy relative to the elements, uncorrected: -0.59 eV per atom.

```
&SYSTEM
  ibrav = 0, nat = 11, ntyp = 3
/
ATOMIC_SPECIES
Nb 92.91 Nb.upf
Se 78.96 Se.upf
I 126.90 I.upf
CELL_PARAMETERS angstrom
6.652 -3.838 0.000
6.652 3.838 0.000
-6.631 0.000 7.257
ATOMIC_POSITIONS angstrom
Nb 0.000 0.000 0.000
Nb 2.616 1.508 0.002
Nb 2.616 -1.508 0.002
Se -4.884 0.000 5.391
I -1.546 1.892 5.704
I 3.974 0.000 1.872
I 7.277 1.903 1.865
I -1.546 -1.892 5.704
I 1.744 0.000 5.693
I 10.613 0.000 1.442
I 7.277 -1.903 1.865
```

Entry 6:
Below is a geometry-optimized HoTaOs4 structure, with properties calculated at the PBE level. Values from VASP.

Calculated values
As for the crystal system: cubic. As for the formation enthalpy at 0 K: -0.0887 eV/atom. The calculation puts the total magnetization at 0.00 μB per cell.

```
&SYSTEM
  ibrav = 0, nat = 6, ntyp = 3
/
ATOMIC_SPECIES
Ho 164.93 Ho.upf
Ta 180.95 Ta.upf
Os 190.23 Os.upf
CELL_PARAMETERS angstrom
0.000 3.709 3.709
3.709 0.000 3.709
3.709 3.709 0.000
ATOMIC_POSITIONS angstrom
Ho 0.000 0.000 0.000
Ta 1.854 1.854 1.854
Os 4.638 2.780 2.780
Os 2.780 4.638 2.780
Os 2.780 2.780 4.638
Os 4.638 4.638 4.638
```

Entry 7:
Below is a geometry-optimized In6Hg3Bi2 structure, with properties calculated at the PBE level. Values from VASP.

Calculated values
As for the crystal system: trigonal. As for the formation enthalpy at 0 K: 0.0342 eV/atom. The calculation puts the total magnetization at 0.00 μB per cell.

```
&SYSTEM
  ibrav = 0, nat = 11, ntyp = 3
/
ATOMIC_SPECIES
In 114.82 In.upf
Hg 200.59 Hg.upf
Bi 208.98 Bi.upf
CELL_PARAMETERS angstrom
2.437 1.407 15.661
-2.437 1.407 15.661
0.000 -2.814 15.661
ATOMIC_POSITIONS angstrom
In 0.000 0.000 3.988
In 0.000 0.000 8.614
In 0.000 0.000 17.012
In 0.000 0.000 29.972
In 0.000 0.000 38.370
In 0.000 0.000 42.995
Hg 0.000 0.000 0.000
Hg 0.000 0.000 13.002
Hg 0.000 0.000 33.981
Bi 0.000 0.000 21.195
Bi 0.000 0.000 25.789
```

Entry 8:
Below is a geometry-optimized Sr3CaCl structure, with properties calculated at the PBE level. Values from VASP.

Calculated values
As for the crystal system: cubic. The calculation puts the total magnetization at 0.00 μB per cell. The energy above the most stable polymorph in this dataset is 859 meV/atom. As for the energy relative to the elements, uncorrected: 0.28 eV per atom.

```
&SYSTEM
  ibrav = 0, nat = 5, ntyp = 3
/
ATOMIC_SPECIES
Sr 87.62 Sr.upf
Ca 40.08 Ca.upf
Cl 35.45 Cl.upf
CELL_PARAMETERS angstrom
7.170 0.000 0.000
0.000 7.170 0.000
0.000 0.000 7.170
ATOMIC_POSITIONS angstrom
Sr 0.000 0.000 3.585
Sr 0.000 3.585 0.000
Sr 3.585 0.000 0.000
Ca 0.000 0.000 0.000
Cl 3.585 3.585 3.585
```

Look up the total magnetization of the third one. 0.00 μB per cell

Look up the total magnetization of the third one. 0.00 μB per cell

Repeat the first record exactly.
Below is a geometry-optimized TbDy3Y2Sb6 structure, with properties calculated at the PBE level. Values from VASP.

Calculated values
As for the crystal system: monoclinic. The calculation puts the total magnetization at 0.00 μB per cell. As for the energy relative to the elements, uncorrected: -1.15 eV per atom.

```
&SYSTEM
  ibrav = 0, nat = 12, ntyp = 4
/
ATOMIC_SPECIES
Tb 158.93 Tb.upf
Dy 162.50 Dy.upf
Y 88.91 Y.upf
Sb 121.76 Sb.upf
CELL_PARAMETERS angstrom
3.803 -6.586 0.000
3.803 6.586 0.000
-2.533 0.000 7.167
ATOMIC_POSITIONS angstrom
Tb 0.000 0.000 0.000
Dy 2.536 4.392 3.583
Dy 2.536 0.000 3.583
Dy 2.536 -4.392 3.583
Y 3.803 2.195 0.000
Y 3.803 -2.195 0.000
Sb 1.269 2.198 1.797
Sb 0.004 0.000 5.369
Sb 1.269 -2.198 1.797
Sb 3.804 2.198 5.369
Sb 5.069 0.000 1.798
Sb 3.804 -2.198 5.369
```